## ZrCu2Tc (GGA-PBE)

Data for a geometry-optimized ZrCu2Tc structure.

Values from the calculation:
Uncorrected energy ... -26.31 eV/cell

Lattice parameters (Å, degrees): 4.4432 4.4432 4.4432 60.00 60.00 60.00
Positions (direct):
Zr 0.0000 0.0000 0.0000
Cu 0.5000 0.5000 0.5000
Cu 0.7500 0.7500 0.7500
Tc 0.2500 0.2500 0.2500